Here is a geometry-optimized Ca2Pa2Pd15 structure from Alexandria via LeMat-Bulk. Energies are from GGA-PBE.

Output
The value obtained for the electronic total energy is -109.8 eV per cell. The calculation puts the formation energy at -8.9 eV/f.u. The calculation puts the calculated volume at 353.0 Å³/cell. As for the symmetry: R-3m. For the density of states at the Fermi level, the calculation gives 0.58 states/eV/atom.

abc: 7.1480 7.1480 7.1480
angles: 80.99 80.99 80.99
Sites, in units of the cell vectors:
Ca: 0.1352 0.1352 0.1352
Ca: 0.8648 0.8648 0.8648
Pa: 0.3924 0.3924 0.3924
Pa: 0.6076 0.6076 0.6076
Pd: 0.0000 0.5000 0.5000
Pd: 0.1553 0.1553 0.6528
Pd: 0.1553 0.6528 0.1553
Pd: 0.1987 0.5000 0.8013
Pd: 0.1987 0.8013 0.5000
Pd: 0.3472 0.8447 0.8447
Pd: 0.5000 0.0000 0.5000
Pd: 0.5000 0.1987 0.8013
Pd: 0.5000 0.5000 0.0000
Pd: 0.5000 0.8013 0.1987
Pd: 0.6528 0.1553 0.1553
Pd: 0.8013 0.1987 0.5000
Pd: 0.8013 0.5000 0.1987
Pd: 0.8447 0.3472 0.8447
Pd: 0.8447 0.8447 0.3472